1.
Na3PbF7: relaxed, GGA-PBE.

a = 5.5702 Å, b = 5.5702 Å, c = 6.3888 Å
α = 113.19°, β = 113.19°, γ = 91.05°
Sites, in units of the cell vectors:
Na  0.0000  0.0000  0.0000
Na  0.2481  0.7076  0.4375
Na  0.7076  0.2481  0.4375
Pb  0.5305  0.5305  0.9750
F  0.1495  0.5115  0.6921
F  0.3376  0.3376  0.1194
F  0.3773  0.8466  0.1821
F  0.5115  0.1495  0.6921
F  0.6455  0.6455  0.7326
F  0.8466  0.3773  0.1821
F  0.8689  0.8689  0.2483

Computed properties:
The total energy is -4.331 eV per atom. The calculation puts the uncorrected formation energy at -2443.4 meV per atom. The calculated density comes out at 4.15 g cm⁻³. The space group is Cm, No. 8.

2.
NaPd2PbF8: relaxed, GGA-PBE.

a = 6.4745 Å, b = 6.4745 Å, c = 6.4745 Å
α = 125.61°, β = 125.61°, γ = 80.53°
Sites, in units of the cell vectors:
Na  0.0000  0.0000  0.0000
Pd  0.2500  0.7500  0.5000
Pd  0.5000  0.5000  0.0000
Pb  0.7500  0.2500  0.5000
F  0.1179  0.0512  0.6934
F  0.1759  0.3585  0.5594
F  0.3578  0.4245  0.3066
F  0.3835  0.8241  0.1826
F  0.5755  0.8821  0.9333
F  0.6415  0.2009  0.8174
F  0.7991  0.6165  0.4406
F  0.9488  0.6422  0.0667

Computed properties:
The total energy is -4.245 eV per atom. The calculation puts the uncorrected formation energy at -1712.6 meV per atom. The calculated density comes out at 5.71 g cm⁻³. The space group is I-4, No. 82.

3.
RbNa2Pb2F7: relaxed, GGA-PBE.

a = 10.5640 Å, b = 10.5640 Å, c = 10.5640 Å
α = 153.12°, β = 37.68°, γ = 154.09°
Sites, in units of the cell vectors:
Rb  0.0000  0.0000  0.0000
Na  0.2491  0.4926  0.7565
Na  0.7361  0.4926  0.2435
Pb  0.3725  0.9873  0.3851
Pb  0.6022  0.9873  0.6149
F  0.1551  0.5132  0.6419
F  0.2605  0.9944  0.2661
F  0.2643  0.7643  0.5000
F  0.3613  0.4801  0.8812
F  0.5989  0.4801  0.1188
F  0.7282  0.9944  0.7339
F  0.8713  0.5132  0.3581

Computed properties:
The total energy is -4.528 eV per atom. The calculation puts the uncorrected formation energy at -2517.8 meV per atom. The calculated density comes out at 4.85 g cm⁻³. The space group is Imm2, No. 44.

What is the formula in the first record?
Na3PbF7